[1]
{
  "formula": "Li2Al7Ag2",
  "functional": "PBE",
  "state": "relaxed",
  "ef_ev_per_atom": -0.03,
  "magmom_total_mub_per_atom": 0.00,
  "lattice": [[6.5208, -0.5818, 0.8300], [1.3543, 5.3165, -0.5487], [0.0405, -0.8560, 5.4467]],
  "species": ["Al", "Al", "Al", "Li", "Al", "Al", "Ag", "Li", "Al", "Ag", "Al"],
  "frac_coords": [[0.0000, 0.0000, 0.0000], [0.8429, 0.4021, 0.4021], [0.1571, 0.5979, 0.5979], [0.5376, 0.1799, 0.1799], [0.1773, 0.0831, 0.5260], [0.8227, 0.9169, 0.4740], [0.5000, 0.7036, 0.2964], [0.4624, 0.8201, 0.8201], [0.1773, 0.5260, 0.0831], [0.5000, 0.2964, 0.7036], [0.8227, 0.4740, 0.9169]]
}

[2]
{
  "formula": "Ba2Ag4Sn3Hg",
  "functional": "PBE",
  "state": "relaxed",
  "ef_ev_per_atom": -0.35,
  "magmom_total_mub_per_atom": 0.00,
  "lattice": [[4.9553, 0.0000, 0.0000], [0.0000, 4.9553, 0.0000], [0.0000, 0.0000, 11.2268]],
  "species": ["Ag", "Sn", "Ag", "Ba", "Hg", "Sn", "Sn", "Ba", "Ag", "Ag"],
  "frac_coords": [[0.5000, 0.0000, 0.6296], [0.5000, 0.0000, 0.8749], [0.0000, 0.0000, 0.0000], [0.0000, 0.5000, 0.7548], [0.5000, 0.5000, 0.5000], [0.0000, 0.0000, 0.5000], [0.0000, 0.5000, 0.1251], [0.5000, 0.0000, 0.2452], [0.0000, 0.5000, 0.3704], [0.5000, 0.5000, 0.0000]]
}

[3]
{
  "formula": "ScCI2O",
  "functional": "PBE",
  "state": "relaxed",
  "magmom_total_mub_per_atom": 0.00,
  "formation_energy_uncorrected_kj_per_mol_atoms": 61.13,
  "lattice": [[5.3639, 0.0000, 0.0000], [0.0000, 5.3639, 0.0000], [0.0000, 0.0000, 3.4318]],
  "species": ["C", "I", "I", "O", "Sc"],
  "frac_coords": [[0.0000, 0.0000, 0.0000], [0.5000, 0.0000, 0.0000], [0.0000, 0.5000, 0.0000], [0.0000, 0.0000, 0.5000], [0.5000, 0.5000, 0.5000]]
}

[4]
{
  "formula": "TbSmAlGa",
  "functional": "PBE",
  "state": "relaxed",
  "ef_ev_per_atom": -0.47,
  "magmom_total_mub_per_atom": 0.00,
  "lattice": [[5.1413, 0.0000, 0.0000], [2.5707, 4.4525, 0.0000], [2.5707, 1.4842, 4.1979]],
  "species": ["Tb", "Ga", "Al", "Sm"],
  "frac_coords": [[0.0000, 0.0000, 0.0000], [0.2500, 0.2500, 0.2500], [0.7500, 0.7500, 0.7500], [0.5000, 0.5000, 0.5000]]
}

[5]
{
  "formula": "NpBSe",
  "functional": "PBE",
  "state": "relaxed",
  "magmom_total_mub_per_atom": 0.00,
  "formation_energy_uncorrected_kj_per_mol_atoms": -23.05,
  "lattice": [[4.4347, 0.0000, 0.0000], [0.0000, 3.3287, 0.0000], [-2.2173, 0.0000, 8.9598]],
  "species": ["Se", "Np", "Np", "B", "Se", "B"],
  "frac_coords": [[0.1664, 0.2500, 0.3329], [0.9488, 0.2500, 0.8976], [0.0512, 0.7500, 0.1024], [0.4880, 0.7500, 0.9759], [0.8336, 0.7500, 0.6671], [0.5120, 0.2500, 0.0241]]
}

[6]
{
  "formula": "RbInAgTe2",
  "functional": "PBE",
  "state": "relaxed",
  "magmom_total_mub_per_atom": 0.14,
  "formation_energy_uncorrected_kj_per_mol_atoms": 79.86,
  "lattice": [[-3.9543, -4.8583, 1.5035], [4.8090, -3.3877, 1.7010], [-0.5178, 2.2793, 6.0031]],
  "species": ["Ag", "In", "Te", "Rb", "Te"],
  "frac_coords": [[0.5000, 0.5000, 0.5000], [0.0000, 0.5000, 0.0000], [0.5000, 0.0000, 0.0000], [0.0000, 0.0000, 0.0000], [0.0000, 0.0000, 0.5000]]
}

[7]
{
  "formula": "LiLaPr6",
  "functional": "PBE",
  "state": "relaxed",
  "ef_ev_per_atom": 0.12,
  "magmom_total_mub_per_atom": 0.00,
  "lattice": [[-5.5187, 1.6120, 1.3622], [-0.3168, -4.4037, 3.9268], [-0.1387, 3.3993, 8.2469]],
  "species": ["Pr", "La", "Pr", "Li", "Pr", "Pr", "Pr", "Pr"],
  "frac_coords": [[0.6156, 0.1154, 0.7691], [0.5000, 0.5000, 0.0000], [0.7410, 0.7402, 0.5196], [0.0000, 0.0000, 0.0000], [0.2590, 0.2598, 0.4804], [0.3844, 0.8846, 0.2309], [0.1158, 0.6154, 0.7691], [0.8842, 0.3846, 0.2309]]
}

[8]
{
  "formula": "Rb3YEr2O6",
  "functional": "PBE",
  "state": "relaxed",
  "magmom_total_mub_per_atom": 0.00,
  "formation_energy_uncorrected_kj_per_mol_atoms": -261.33,
  "lattice": [[6.0425, -0.0009, 0.0003], [-3.0205, 5.2334, 0.0003], [-1.0077, -1.7447, 6.5541]],
  "species": ["O", "Er", "O", "O", "O", "O", "Rb", "Y", "O", "Rb", "Rb", "Er"],
  "frac_coords": [[0.2784, 0.2784, 0.8256], [0.6666, 0.3334, 0.0000], [0.7216, 0.7216, 0.1744], [0.3947, 0.0582, 0.1746], [0.6053, 0.9418, 0.8254], [0.9418, 0.6053, 0.8254], [0.8332, 0.1668, 0.5000], [0.0000, 0.0000, 0.0000], [0.0582, 0.3947, 0.1746], [0.1668, 0.8332, 0.5000], [0.5000, 0.5000, 0.5000], [0.3334, 0.6666, 0.0000]]
}

[9]
{
  "formula": "Fe4Co16Ni3",
  "functional": "PBE",
  "state": "relaxed",
  "ef_ev_per_atom": 0.20,
  "magmom_total_mub_per_atom": 1.70,
  "lattice": [[7.5248, 0.0000, 0.0000], [0.0000, 4.8460, 0.0000], [0.0000, 0.0000, 7.3400]],
  "species": ["Co", "Co", "Fe", "Co", "Co", "Ni", "Co", "Co", "Fe", "Co", "Ni", "Co", "Ni", "Fe", "Co", "Fe", "Co", "Co", "Co", "Co", "Co", "Co", "Co"],
  "frac_coords": [[0.7359, 0.7394, 0.6626], [0.2641, 0.2606, 0.6626], [0.0000, 0.5000, 0.1685], [0.0000, 0.0000, 0.3388], [0.2642, 0.2549, 0.0000], [0.0000, 0.0000, 0.0000], [0.5000, 0.5000, 0.8325], [0.7359, 0.7394, 0.3374], [0.0000, 0.5000, 0.8315], [0.2641, 0.7394, 0.3374], [0.5000, 0.0000, 0.5000], [0.0000, 0.0000, 0.6612], [0.0000, 0.5000, 0.5000], [0.5000, 0.0000, 0.8295], [0.2641, 0.2606, 0.3374], [0.5000, 0.0000, 0.1705], [0.7358, 0.2549, 0.0000], [0.5000, 0.5000, 0.1675], [0.7359, 0.2606, 0.3374], [0.2641, 0.7394, 0.6626], [0.7358, 0.7451, 0.0000], [0.7359, 0.2606, 0.6626], [0.2642, 0.7451, 0.0000]]
}

[10]
{
  "formula": "RbTl2TcO6",
  "functional": "PBE",
  "state": "relaxed",
  "magmom_total_mub_per_atom": 0.00,
  "formation_energy_uncorrected_kj_per_mol_atoms": -104.83,
  "lattice": [[8.0098, 0.0281, 0.0292], [2.6217, 7.6250, -0.2041], [2.6217, -0.4866, 7.6122]],
  "species": ["Tc", "O", "Tl", "O", "O", "Tl", "O", "O", "Tc", "O", "Rb", "Rb", "O", "Tl", "O", "O", "Tl", "O", "O", "O"],
  "frac_coords": [[0.7500, 0.8300, 0.1700], [0.5577, 0.8385, 0.3549], [0.7001, 0.3316, 0.4012], [0.6852, 0.8256, 0.9831], [0.5415, 0.5426, 0.6877], [0.2001, 0.4012, 0.3316], [0.8148, 0.0169, 0.1744], [0.1852, 0.9831, 0.8256], [0.2500, 0.1700, 0.8300], [0.0415, 0.6877, 0.5426], [0.7500, 0.1678, 0.8322], [0.2500, 0.8322, 0.1678], [0.9585, 0.3123, 0.4574], [0.7999, 0.5988, 0.6684], [0.0577, 0.3549, 0.8385], [0.4585, 0.4574, 0.3123], [0.2999, 0.6684, 0.5988], [0.3148, 0.1744, 0.0169], [0.4423, 0.1615, 0.6451], [0.9423, 0.6451, 0.1615]]
}

[11]
{
  "formula": "Ta2TlRh",
  "functional": "PBE",
  "state": "relaxed",
  "ef_ev_per_atom": 0.45,
  "magmom_total_mub_per_atom": 0.00,
  "lattice": [[-2.0631, -3.1922, 2.7522], [-0.6783, 0.9142, 4.5526], [-4.3391, 0.7526, 1.6210]],
  "species": ["Ta", "Tl", "Ta", "Rh"],
  "frac_coords": [[0.7500, 0.7500, 0.7500], [0.5000, 0.5000, 0.5000], [0.2500, 0.2500, 0.2500], [0.0000, 0.0000, 0.0000]]
}

[12]
{
  "formula": "SmDy5YHo2",
  "functional": "PBE",
  "state": "relaxed",
  "ef_ev_per_atom": 0.16,
  "magmom_total_mub_per_atom": 0.00,
  "lattice": [[5.5990, 0.0000, 0.0000], [-2.7995, 9.9700, 0.0000], [0.0000, 0.0000, 10.5474]],
  "species": ["Y", "Dy", "Dy", "Ho", "Dy", "Dy", "Ho", "Ho", "Dy", "Sm", "Sm", "Ho", "Dy", "Dy", "Y", "Dy", "Dy", "Dy"],
  "frac_coords": [[0.4132, 0.8263, 0.4537], [0.2803, 0.5606, 0.3081], [0.9830, 0.9659, 0.5250], [0.1133, 0.2266, 0.3186], [0.4783, 0.9565, 0.7380], [0.3004, 0.6008, 0.7079], [0.1100, 0.2199, 0.7365], [0.8900, 0.7801, 0.2365], [0.6996, 0.3992, 0.2079], [0.2002, 0.4004, 0.0119], [0.7998, 0.5996, 0.5119], [0.8867, 0.7734, 0.8186], [0.5217, 0.0435, 0.2380], [0.0170, 0.0341, 0.0250], [0.5868, 0.1737, 0.9537], [0.3919, 0.7838, 0.0243], [0.7197, 0.4394, 0.8081], [0.6081, 0.2162, 0.5243]]
}